# SrCu3As2

SrCu3As2 after structural relaxation (PBE-GGA, Alexandria via LeMat-Bulk).

Lattice parameters (Å, degrees): 8.037 8.037 7.581 113.45 113.45 29.42
Fractional coordinates of all 12 atoms:
1 Sr 0.144 0.144 0.063
2 Sr 0.856 0.856 0.937
3 Cu 0.046 0.046 0.393
4 Cu 0.310 0.310 0.547
5 Cu 0.411 0.411 0.359
6 Cu 0.589 0.589 0.641
7 Cu 0.690 0.690 0.453
8 Cu 0.954 0.954 0.607
9 As 0.194 0.194 0.689
10 As 0.478 0.478 0.797
11 As 0.522 0.522 0.203
12 As 0.806 0.806 0.311

Values from the calculation:
Fermi-level density of states = 1.26 states/eV/f.u.
space group = C2/m
E_tot = -4.315 eV/atom
V = 18.27 A^3/atom
magnetization = 0.000 μB per formula unit
DFT formation energy = -0.44 eV per atom



# Y2PC

Y2PC after structural relaxation (PBE-GGA, Alexandria via LeMat-Bulk).

Lattice parameters (Å, degrees): 5.982 5.982 5.982 110.39 110.39 107.65
Fractional coordinates of all 8 atoms:
1 Y 0.078 0.625 0.953
2 Y 0.375 0.328 0.453
3 Y 0.672 0.125 0.047
4 Y 0.875 0.922 0.547
5 P 0.250 0.750 0.500
6 P 0.500 0.500 0.000
7 C 0.000 0.000 0.000
8 C 0.750 0.250 0.500

Values from the calculation:
Fermi-level density of states = 1.49 states/eV/f.u.
space group = I-42d
E_tot = -7.390 eV/atom
V = 20.59 A^3/atom
magnetization = 0.000 μB per formula unit
energy above the most stable polymorph in this dataset = 0 meV per atom
DFT formation energy = -0.50 eV per atom



# TbIn4AgS8

TbIn4AgS8 after structural relaxation (PBE-GGA, Alexandria via LeMat-Bulk).

Lattice parameters (Å, degrees): 7.832 7.832 7.832 59.94 59.94 59.94
Fractional coordinates of all 14 atoms:
1 Tb 0.000 0.000 0.000
2 In 0.001 0.001 0.525
3 In 0.001 0.525 0.001
4 In 0.384 0.384 0.384
5 In 0.525 0.001 0.001
6 Ag 0.634 0.634 0.634
7 S 0.239 0.757 0.757
8 S 0.248 0.248 0.248
9 S 0.252 0.252 0.780
10 S 0.252 0.780 0.252
11 S 0.757 0.239 0.757
12 S 0.757 0.757 0.239
13 S 0.766 0.766 0.766
14 S 0.780 0.252 0.252

Values from the calculation:
Fermi-level density of states = 4.05 states/eV/f.u.
space group = R3m
E_tot = -4.435 eV/atom
V = 24.23 A^3/atom
magnetization = 0.000 μB per formula unit



# AcMgGa2Ni

AcMgGa2Ni after structural relaxation (PBE-GGA, Alexandria via LeMat-Bulk).

Lattice parameters (Å, degrees): 6.355 6.355 6.355 139.86 139.60 58.26
Fractional coordinates of all 5 atoms:
1 Ac 0.000 0.000 0.000
2 Mg 0.254 0.754 0.500
3 Ga 0.602 0.602 0.000
4 Ga 0.760 0.260 0.500
5 Ni 0.383 0.383 0.000

Values from the calculation:
Fermi-level density of states = 2.90 states/eV/f.u.
space group = Imm2
E_tot = -3.945 eV/atom
V = 21.25 A^3/atom
magnetization = 0.000 μB per formula unit
DFT formation energy = -0.44 eV per atom